Record 1
A relaxed Sc2TcIr crystal. Source: Alexandria, functional PBE-GGA.

Computed properties:
Its final energy is -8.31 eV/atom. The crystal system is monoclinic.

```
Sc2TcIr
1.0
2.937 0.000 0.000
0.000 4.201 0.000
-0.737 0.000 5.511
Sc Tc Ir
2 1 1
Direct
0.232 0.000 0.252
0.768 0.000 0.748
0.000 0.500 0.500
0.500 0.500 0.000
```


Record 2
A relaxed H6AuN2 crystal. Source: Alexandria, functional PBE-GGA.

Computed properties:
Its final energy is -4.63 eV/atom. The crystal system is monoclinic.

```
H6AuN2
1.0
5.956 -4.034 0.000
5.956 4.034 0.000
-1.727 0.000 4.431
H Au N
12 2 4
Direct
0.006 0.430 0.246
0.111 0.746 0.868
0.113 0.201 0.042
0.201 0.113 0.542
0.254 0.889 0.632
0.430 0.006 0.746
0.570 0.994 0.254
0.746 0.111 0.368
0.799 0.887 0.458
0.887 0.799 0.958
0.889 0.254 0.132
0.994 0.570 0.754
0.435 0.565 0.250
0.565 0.435 0.750
0.030 0.276 0.211
0.276 0.030 0.711
0.724 0.970 0.289
0.970 0.724 0.789
```


The highest final energy belongs to which entry?
H6AuN2


Which of these has the highest final energy?
H6AuN2


Repeat the first record exactly.
A relaxed Sc2TcIr crystal. Source: Alexandria, functional PBE-GGA.

Computed properties:
Its final energy is -8.31 eV/atom. The crystal system is monoclinic.

```
Sc2TcIr
1.0
2.937 0.000 0.000
0.000 4.201 0.000
-0.737 0.000 5.511
Sc Tc Ir
2 1 1
Direct
0.232 0.000 0.252
0.768 0.000 0.748
0.000 0.500 0.500
0.500 0.500 0.000
```